# MgTe2Os

A crystal of MgTe2Os relaxed with PBEsol (meta-GGA SCAN, Alexandria via LeMat-Bulk).

SG   P4mm (99)
Energy relative to the elements, uncorrected   -14 meV/atom
Total magnetic moment   0.000 Bohr magnetons per cell

Lattice parameters (Å, degrees): 3.1338 3.1338 9.1730 90.00 90.00 90.00
Closest atoms and distances in Å follow each position.
Fractional coordinates of all 4 atoms:
1 Mg 0.0000 0.0000 0.0000  4 Os 2.87, 4 Mg 3.13
2 Te 0.0000 0.0000 0.3618  4 Os 2.67
3 Te 0.5000 0.5000 0.7316  4 Te 3.13, 4 Mg 3.31
4 Os 0.5000 0.5000 0.1989  4 Te 2.67, 4 Mg 2.87

# ScReB2

A crystal of ScReB2 relaxed with PBEsol (meta-GGA SCAN, Alexandria via LeMat-Bulk).

Excess energy over the best structure of this formula in the dataset   0 meV per atom
SG   I4_1/amd (141)
Formation energy   85 meV/atom
Total magnetic moment   0.000 Bohr magnetons per cell

Lattice parameters (Å, degrees): 7.7633 7.7633 7.7633 150.29 150.29 42.51
Closest atoms and distances in Å follow each position.
Fractional coordinates of all 8 atoms:
1 Sc 0.3750 0.6250 0.7500  4 Re 2.81, 8 B 2.87
2 Sc 0.6250 0.3750 0.2500  4 Re 2.81, 8 B 2.87
3 Re 0.1250 0.8750 0.2500  4 B 2.06
4 Re 0.8750 0.1250 0.7500  4 B 2.06
5 B 0.0000 0.0000 0.0000  2 B 1.99, 2 Re 2.06
6 B 0.0000 0.0000 0.5000  2 B 1.99, 2 Re 2.06
7 B 0.0000 0.5000 0.0000  2 B 1.99, 2 Re 2.06
8 B 0.5000 0.0000 0.5000  2 B 1.99, 2 Re 2.06

# AlFeTe3

A crystal of AlFeTe3 relaxed with PBEsol (meta-GGA SCAN, Alexandria via LeMat-Bulk).

SG   Pm-3m (221)
Energy relative to the elements, uncorrected   473 meV/atom
Total magnetic moment   4.056 Bohr magnetons per cell

Lattice parameters (Å, degrees): 5.0580 5.0580 5.0580 90.00 90.00 90.00
Closest atoms and distances in Å follow each position.
Fractional coordinates of all 5 atoms:
1 Al 0.0000 0.0000 0.0000  12 Te 3.58
2 Fe 0.5000 0.5000 0.5000  6 Te 2.53
3 Te 0.0000 0.5000 0.5000  2 Fe 2.53
4 Te 0.5000 0.0000 0.5000  2 Fe 2.53
5 Te 0.5000 0.5000 0.0000  2 Fe 2.53

# K3SI

A crystal of K3SI relaxed with PBEsol (meta-GGA SCAN, Alexandria via LeMat-Bulk).

Excess energy over the best structure of this formula in the dataset   0 meV per atom
SG   Pm-3m (221)
Energy relative to the elements, uncorrected   -1328 meV/atom
Total magnetic moment   0.000 Bohr magnetons per cell

Lattice parameters (Å, degrees): 5.9261 5.9261 5.9261 90.00 90.00 90.00
Closest atoms and distances in Å follow each position.
Fractional coordinates of all 5 atoms:
1 K 0.0000 0.0000 0.5000  2 S 2.96
2 K 0.0000 0.5000 0.0000  2 S 2.96
3 K 0.5000 0.0000 0.0000  2 S 2.96
4 S 0.0000 0.0000 0.0000  6 K 2.96
5 I 0.5000 0.5000 0.5000  12 K 4.19

# GaAu2NF

A crystal of GaAu2NF relaxed with PBEsol (meta-GGA SCAN, Alexandria via LeMat-Bulk).

SG   P4/mmm (123)
Energy relative to the elements, uncorrected   217 meV/atom
Total magnetic moment   0.714 Bohr magnetons per cell

Lattice parameters (Å, degrees): 3.9877 3.9877 5.6127 90.00 90.00 90.00
Closest atoms and distances in Å follow each position.
Fractional coordinates of all 5 atoms:
1 Ga 0.0000 0.0000 0.0000  4 F 2.82
2 Au 0.0000 0.5000 0.5000  2 N 1.99
3 Au 0.5000 0.0000 0.5000  2 N 1.99
4 N 0.5000 0.5000 0.5000  4 Au 1.99
5 F 0.5000 0.5000 0.0000  2 N 2.81, 4 Ga 2.82

# Na3YBr6

A crystal of Na3YBr6 relaxed with PBEsol (meta-GGA SCAN, Alexandria via LeMat-Bulk).

SG   P2_1/c (14)
Energy relative to the elements, uncorrected   -1894 meV/atom
Total magnetic moment   0.000 Bohr magnetons per cell

Lattice parameters (Å, degrees): 7.1025 7.6764 12.6475 90.00 123.21 90.00
Closest atoms and distances in Å follow each position.
Fractional coordinates of all 20 atoms:
1 Na 0.0000 0.0000 0.0000  6 Br 2.87-2.99
2 Na 0.0000 0.5000 0.5000  6 Br 2.87-2.99
3 Na 0.2050 0.0941 0.7420  6 Br 2.97-3.30
4 Na 0.2050 0.4059 0.2420  6 Br 2.97-3.30
5 Na 0.7950 0.5941 0.7580  6 Br 2.97-3.30
6 Na 0.7950 0.9059 0.2580  6 Br 2.97-3.30
7 Y 0.5000 0.0000 0.5000  6 Br 2.76-2.78
8 Y 0.5000 0.5000 0.0000  6 Br 2.76-2.78
9 Br 0.1124 0.1791 0.4308  1 Y 2.76, 2 Na 2.87-2.98
10 Br 0.1124 0.3209 0.9308  1 Y 2.76, 2 Na 2.87-2.98
11 Br 0.2546 0.6924 0.4211  1 Y 2.78, 2 Na 2.90-3.04
12 Br 0.2546 0.8076 0.9211  1 Y 2.78, 2 Na 2.90-3.04
13 Br 0.4076 0.0601 0.2588  1 Y 2.78, 3 Na 2.97-3.00
14 Br 0.4076 0.4399 0.7588  1 Y 2.78, 3 Na 2.97-3.00
15 Br 0.5924 0.5601 0.2412  1 Y 2.78, 3 Na 2.97-3.00
16 Br 0.5924 0.9399 0.7412  1 Y 2.78, 3 Na 2.97-3.00
17 Br 0.7454 0.1924 0.0789  1 Y 2.78, 2 Na 2.90-3.04
18 Br 0.7454 0.3076 0.5789  1 Y 2.78, 2 Na 2.90-3.04
19 Br 0.8876 0.6791 0.0692  1 Y 2.76, 2 Na 2.87-2.98
20 Br 0.8876 0.8209 0.5692  1 Y 2.76, 2 Na 2.87-2.98

# TiIrO2

A crystal of TiIrO2 relaxed with PBEsol (meta-GGA SCAN, Alexandria via LeMat-Bulk).

Excess energy over the best structure of this formula in the dataset   0 meV per atom
SG   R-3m (166)
Energy relative to the elements, uncorrected   -1945 meV/atom
Total magnetic moment   0.003 Bohr magnetons per cell

Lattice parameters (Å, degrees): 6.5181 6.5181 6.5181 25.11 25.11 25.11
Closest atoms and distances in Å follow each position.
Fractional coordinates of all 4 atoms:
1 Ti 0.0000 0.0000 0.0000  6 O 1.99
2 Ir 0.5000 0.5000 0.5000  2 O 2.01
3 O 0.3936 0.3936 0.3936  3 Ti 1.99, 1 Ir 2.01
4 O 0.6064 0.6064 0.6064  3 Ti 1.99, 1 Ir 2.01

# PrMgTi2O6

A crystal of PrMgTi2O6 relaxed with PBEsol (meta-GGA SCAN, Alexandria via LeMat-Bulk).

SG   Pmn2_1 (31)
Energy relative to the elements, uncorrected   -3312 meV/atom
Total magnetic moment   2.001 Bohr magnetons per cell

Lattice parameters (Å, degrees): 7.6065 5.4765 5.3022 90.00 90.00 90.00
Closest atoms and distances in Å follow each position.
Fractional coordinates of all 20 atoms:
1 Pr 0.0000 0.2012 0.0000  6 O 2.34-2.59
2 Pr 0.5000 0.7988 0.5000  6 O 2.34-2.59
3 Mg 0.0000 0.6961 0.5290  4 O 2.13-2.27
4 Mg 0.5000 0.3039 0.0290  4 O 2.13-2.27
5 Ti 0.2489 0.7453 0.0091  6 O 1.94-2.02
6 Ti 0.2511 0.2547 0.5091  6 O 1.94-2.02
7 Ti 0.7489 0.2547 0.5091  6 O 1.94-2.02
8 Ti 0.7511 0.7453 0.0091  6 O 1.94-2.02
9 O 0.0000 0.2921 0.4315  2 Ti 1.96
10 O 0.0000 0.7707 0.1356  2 Ti 2.01, 1 Mg 2.13
11 O 0.1926 0.9440 0.6977  2 Ti 2.02, 1 Mg 2.19
12 O 0.1990 0.4685 0.7934  2 Ti 1.94-1.95
13 O 0.3010 0.5315 0.2934  2 Ti 1.94-1.95
14 O 0.3074 0.0560 0.1977  2 Ti 2.02, 1 Mg 2.19
15 O 0.5000 0.2293 0.6356  2 Ti 2.01, 1 Mg 2.13
16 O 0.5000 0.7079 0.9315  2 Ti 1.96
17 O 0.6926 0.0560 0.1977  2 Ti 2.02, 1 Mg 2.19
18 O 0.6990 0.5315 0.2934  2 Ti 1.94-1.95
19 O 0.8010 0.4685 0.7934  2 Ti 1.94-1.95
20 O 0.8074 0.9440 0.6977  2 Ti 2.02, 1 Mg 2.19

# B2Mo2Ru

A crystal of B2Mo2Ru relaxed with PBEsol (meta-GGA SCAN, Alexandria via LeMat-Bulk).

SG   P4/mbm (127)
Formation energy   -291 meV/atom
Total magnetic moment   0.000 Bohr magnetons per cell

Lattice parameters (Å, degrees): 5.9108 5.9108 3.1014 90.00 90.00 90.00
Closest atoms and distances in Å follow each position.
Fractional coordinates of all 10 atoms:
1 B 0.1127 0.3873 0.0000  1 B 1.88
2 B 0.3873 0.8873 0.0000  1 B 1.88
3 B 0.6127 0.1127 0.0000  1 B 1.88
4 B 0.8873 0.6127 0.0000  1 B 1.88
5 Mo 0.1715 0.6715 0.5000  6 B 2.31-2.38
6 Mo 0.3285 0.1715 0.5000  6 B 2.31-2.38
7 Mo 0.6715 0.8285 0.5000  6 B 2.31-2.38
8 Mo 0.8285 0.3285 0.5000  6 B 2.31-2.38
9 Ru 0.0000 0.0000 0.0000  4 B 2.38
10 Ru 0.5000 0.5000 0.0000  4 B 2.38

# Li2TeRh

A crystal of Li2TeRh relaxed with PBEsol (meta-GGA SCAN, Alexandria via LeMat-Bulk).

SG   Pmm2 (25)
Energy relative to the elements, uncorrected   -352 meV/atom
Total magnetic moment   0.000 Bohr magnetons per cell

Lattice parameters (Å, degrees): 3.1714 3.7700 5.5402 90.00 90.00 90.00
Closest atoms and distances in Å follow each position.
Fractional coordinates of all 4 atoms:
1 Li 0.0000 0.0000 0.0000  2 Rh 2.74-2.80, 4 Li 2.80, 4 Te 2.94
2 Li 0.5000 0.5000 0.2390  1 Te 2.61, 4 Li 2.80, 4 Rh 2.87
3 Te 0.5000 0.5000 0.7104  1 Li 2.61, 4 Rh 2.71
4 Rh 0.0000 0.0000 0.5048  4 Te 2.71, 6 Li 2.74-2.87

# LiSn2Ir2

A crystal of LiSn2Ir2 relaxed with PBEsol (meta-GGA SCAN, Alexandria via LeMat-Bulk).

Excess energy over the best structure of this formula in the dataset   145 meV per atom
SG   I4/mmm (139)
Formation energy   -122 meV/atom
Total magnetic moment   0.000 Bohr magnetons per cell

Lattice parameters (Å, degrees): 6.1010 6.1010 6.1010 137.02 137.02 62.41
Closest atoms and distances in Å follow each position.
Fractional coordinates of all 5 atoms:
1 Li 0.0000 0.0000 0.0000  8 Ir 3.38, 8 Sn 3.44
2 Sn 0.2500 0.7500 0.5000  4 Ir 2.64
3 Sn 0.7500 0.2500 0.5000  4 Ir 2.64
4 Ir 0.3845 0.3845 0.0000  1 Ir 2.41, 4 Sn 2.64
5 Ir 0.6155 0.6155 0.0000  1 Ir 2.41, 4 Sn 2.64

# BaBAs2Br

A crystal of BaBAs2Br relaxed with PBEsol (meta-GGA SCAN, Alexandria via LeMat-Bulk).

SG   P4/mmm (123)
Energy relative to the elements, uncorrected   -257 meV/atom
Total magnetic moment   0.000 Bohr magnetons per cell

Lattice parameters (Å, degrees): 4.3887 4.3887 6.1950 90.00 90.00 90.00
Closest atoms and distances in Å follow each position.
Fractional coordinates of all 5 atoms:
1 Ba 0.0000 0.0000 0.0000  4 Br 3.10
2 B 0.5000 0.5000 0.5000  4 As 2.19
3 As 0.0000 0.5000 0.5000  2 B 2.19
4 As 0.5000 0.0000 0.5000  2 B 2.19
5 Br 0.5000 0.5000 0.0000  2 B 3.10, 4 Ba 3.10